[1]
VASP calculation (SCAN) on a PBEsol-optimized structure of Ti2ZnP3O12.

The structure in extended XYZ format:
```
36
Lattice="4.296 2.480 6.848 -4.296 2.480 6.848 0.000 -4.961 6.848" Properties=species:S:1:pos:R:3 pbc="T T T"
Ti 0.000 0.000 2.954
Ti 0.000 0.000 7.318
Ti 0.000 0.000 13.226
Ti 0.000 0.000 17.589
Zn 0.000 0.000 0.000
Zn 0.000 0.000 10.272
P -3.027 -0.282 8.560
P -1.269 -2.762 11.983
P 1.758 -2.480 8.560
P -1.758 2.480 11.983
P 1.269 2.762 8.560
P 3.027 0.282 11.983
O 3.520 1.011 10.729
O -3.520 -1.011 9.814
O -3.661 1.125 8.395
O -2.805 -2.608 12.148
O -0.885 -1.407 6.390
O -0.885 -3.553 10.729
O -1.491 -0.128 8.725
O 0.856 -3.733 8.395
O -0.776 1.470 6.390
O -2.635 2.543 10.729
O -0.635 -1.355 11.818
O 0.856 -1.227 8.725
O 1.661 -0.062 6.390
O -1.661 0.062 14.153
O -0.856 1.227 11.818
O 0.635 1.355 8.725
O 2.635 -2.543 9.814
O 0.776 -1.470 14.153
O -0.856 3.733 12.148
O 1.491 0.128 11.818
O 0.885 3.553 9.814
O 0.885 1.407 14.153
O 2.805 2.608 8.395
O 3.661 -1.125 12.148
```

## Properties
As for the electronic total energy: -11.081 eV per atom. As for the size of the total moment: 1.000 μB/f.u.

---

[2]
VASP calculation (SCAN) on a PBEsol-optimized structure of ZrTiP2O.

The structure in extended XYZ format:
```
5
Lattice="4.734 0.000 0.000 0.000 4.734 0.000 0.000 0.000 3.641" Properties=species:S:1:pos:R:3 pbc="T T T"
Zr 0.000 0.000 0.000
Ti 2.367 2.367 1.820
P 0.000 2.367 1.820
P 2.367 0.000 1.820
O 2.367 2.367 0.000
```

## Properties
As for the electronic total energy: -15.865 eV per atom. As for the size of the total moment: 0.000 μB/f.u.

---

[3]
VASP calculation (SCAN) on a PBEsol-optimized structure of TlPO3.

The structure in extended XYZ format:
```
40
Lattice="7.573 0.000 0.000 0.000 7.573 0.000 0.000 0.000 11.089" Properties=species:S:1:pos:R:3 pbc="T T T"
Tl 0.000 0.000 1.838
Tl 0.000 0.000 9.250
Tl 0.000 3.786 2.485
Tl 0.000 3.786 8.030
Tl 3.786 0.000 3.059
Tl 3.786 0.000 8.603
Tl 3.786 3.786 3.706
Tl 3.786 3.786 7.383
P 1.164 1.685 5.172
P 1.685 6.409 5.917
P 2.101 2.623 10.716
P 2.623 5.472 0.372
P 4.950 2.101 0.372
P 5.472 4.950 10.716
P 5.888 1.164 5.917
P 6.409 5.888 5.172
O 0.438 6.060 4.953
O 0.858 2.316 0.404
O 1.471 2.928 5.948
O 1.513 0.438 6.136
O 1.519 5.834 7.296
O 1.739 1.519 3.793
O 2.047 5.306 1.752
O 2.267 2.047 9.337
O 2.273 4.224 10.498
O 2.316 6.715 10.685
O 2.928 6.102 5.141
O 3.349 2.273 0.591
O 4.224 5.300 0.591
O 4.645 1.471 5.141
O 5.257 0.858 10.685
O 5.300 3.349 10.498
O 5.306 5.526 9.337
O 5.526 2.267 1.752
O 5.834 6.054 3.793
O 6.054 1.739 7.296
O 6.060 7.135 6.136
O 6.102 4.645 5.948
O 6.715 5.257 0.404
O 7.135 1.513 4.953
```

## Properties
As for the electronic total energy: -22.318 eV per atom. As for the size of the total moment: 0.000 μB/f.u.

---

[4]
VASP calculation (SCAN) on a PBEsol-optimized structure of Y2TlPO.

The structure in extended XYZ format:
```
5
Lattice="5.191 0.000 0.000 0.000 5.191 0.000 0.000 0.000 4.856" Properties=species:S:1:pos:R:3 pbc="T T T"
Y 0.000 2.596 0.000
Y 2.596 0.000 0.000
Tl 0.000 0.000 2.428
P 0.000 0.000 0.000
O 2.596 2.596 2.428
```

## Properties
For the polymorph energy (0 for the lowest one), the calculation gives 0.0 meV per atom. As for the size of the total moment: 0.000 μB/f.u.

---

[5]
VASP calculation (SCAN) on a PBEsol-optimized structure of Y2TlPO.

The structure in extended XYZ format:
```
5
Lattice="5.628 0.000 0.000 0.000 5.628 0.000 0.000 0.000 4.699" Properties=species:S:1:pos:R:3 pbc="T T T"
Y 0.000 2.814 0.000
Y 2.814 0.000 0.000
Tl 0.000 0.000 0.000
P 0.000 0.000 2.350
O 2.814 2.814 2.350
```

## Properties
For the polymorph energy (0 for the lowest one), the calculation gives 670.1 meV per atom. As for the size of the total moment: 0.000 μB/f.u.

---

[6]
VASP calculation (SCAN) on a PBEsol-optimized structure of TlZnP3O9.

The structure in extended XYZ format:
```
56
Lattice="5.144 0.000 0.000 0.000 11.984 0.000 0.000 0.000 13.095" Properties=species:S:1:pos:R:3 pbc="T T T"
Tl 0.120 1.347 3.274
Tl 0.120 4.645 9.821
Tl 5.024 7.339 3.274
Tl 5.024 10.637 9.821
Zn 0.000 0.000 0.000
Zn 0.000 0.000 6.548
Zn 0.000 5.992 0.000
Zn 0.000 5.992 6.548
P 1.279 8.988 0.000
P 1.279 8.988 6.548
P 2.534 1.011 8.313
P 2.534 1.011 11.330
P 2.534 4.981 1.765
P 2.534 4.981 4.782
P 2.609 7.003 8.313
P 2.609 7.003 11.330
P 2.609 10.973 1.765
P 2.609 10.973 4.782
P 3.865 2.996 0.000
P 3.865 2.996 6.548
O 0.518 7.863 0.630
O 0.518 7.863 5.918
O 0.518 10.113 7.177
O 0.518 10.113 12.466
O 1.064 0.731 8.226
O 1.064 0.731 11.417
O 1.064 5.261 1.678
O 1.064 5.261 4.869
O 1.645 0.043 1.296
O 1.645 0.043 5.251
O 1.645 5.949 7.844
O 1.645 5.949 11.799
O 2.230 7.411 9.821
O 2.230 10.565 3.274
O 2.314 8.427 7.636
O 2.314 8.427 12.007
O 2.314 9.549 1.089
O 2.314 9.549 5.459
O 2.829 2.435 7.636
O 2.829 2.435 12.007
O 2.829 3.557 1.089
O 2.829 3.557 5.459
O 2.913 1.419 9.821
O 2.913 4.573 3.274
O 3.499 6.035 1.296
O 3.499 6.035 5.251
O 3.499 11.941 7.844
O 3.499 11.941 11.799
O 4.080 6.723 8.226
O 4.080 6.723 11.417
O 4.080 11.253 1.678
O 4.080 11.253 4.869
O 4.626 1.871 0.630
O 4.626 1.871 5.918
O 4.626 4.121 7.177
O 4.626 4.121 12.466
```

## Properties
As for the electronic total energy: -14.557 eV per atom. As for the size of the total moment: 0.000 μB/f.u.

---

[7]
VASP calculation (SCAN) on a PBEsol-optimized structure of Tm2P4O13.

The structure in extended XYZ format:
```
38
Lattice="5.873 -3.335 0.000 5.873 3.335 0.000 -3.759 0.000 12.174" Properties=species:S:1:pos:R:3 pbc="T T T"
Tm 2.082 0.020 0.578
Tm 0.203 -0.020 6.665
Tm 7.784 0.020 5.510
Tm 5.905 -0.020 11.597
P 1.804 0.070 4.109
P -0.076 -0.070 10.196
P 5.231 1.055 1.613
P 4.636 1.055 4.474
P 3.351 -1.055 7.700
P 2.756 -1.055 10.561
P 8.063 0.070 1.978
P 6.183 -0.070 8.065
O 1.243 1.240 4.918
O -0.489 1.166 11.003
O 5.565 2.205 0.670
O 4.301 2.205 5.417
O 1.449 0.036 2.650
O -0.430 -0.036 8.737
O 4.933 1.721 3.044
O 4.161 0.092 1.231
O 3.396 0.121 4.205
O 2.282 -0.092 7.318
O 1.517 -0.121 10.293
O -0.637 -1.240 11.006
O 1.391 -1.166 4.916
O 6.596 1.166 7.259
O 8.624 1.240 1.169
O 6.470 0.121 1.882
O 5.705 0.092 4.856
O 4.591 -0.121 7.969
O 3.826 -0.092 10.943
O 3.054 -1.721 9.131
O 8.417 0.036 3.437
O 6.538 -0.036 9.524
O 3.686 -2.205 6.757
O 2.422 -2.205 11.504
O 8.476 -1.166 1.171
O 6.744 -1.240 7.256
```

## Properties
For the polymorph energy (0 for the lowest one), the calculation gives 28.9 meV per atom. As for the size of the total moment: 0.000 μB/f.u.

---

[8]
VASP calculation (SCAN) on a PBEsol-optimized structure of Tm2P4O13.

The structure in extended XYZ format:
```
38
Lattice="3.473 -8.600 0.000 3.473 8.600 0.000 0.000 0.000 8.502" Properties=species:S:1:pos:R:3 pbc="T T T"
Tm 1.735 2.519 1.271
Tm 1.735 -2.519 7.231
Tm 5.211 2.519 2.980
Tm 5.211 -2.519 5.522
P 1.668 2.754 4.258
P 1.966 1.094 6.608
P 1.966 -1.094 1.894
P 1.668 -2.754 4.244
P 5.278 2.754 8.495
P 4.980 1.094 6.145
P 4.980 -1.094 2.357
P 5.278 -2.754 0.007
O 1.700 3.951 5.166
O 2.945 5.878 7.483
O 1.456 2.013 7.672
O 1.381 1.446 5.168
O 4.001 5.878 5.269
O 1.807 0.375 1.690
O 2.939 2.545 3.406
O 1.807 -0.375 6.812
O 1.381 -1.446 3.334
O 1.456 -2.013 0.830
O 3.473 1.512 6.376
O 4.007 2.545 0.845
O 1.700 -3.951 3.336
O 5.246 3.951 7.587
O 2.939 -2.545 5.096
O 3.473 -1.512 2.125
O 5.490 2.013 5.081
O 5.566 1.446 7.585
O 5.140 0.375 2.561
O 4.007 -2.545 7.657
O 5.140 -0.375 5.941
O 2.945 -5.878 1.018
O 5.566 -1.446 0.917
O 5.490 -2.013 3.421
O 4.001 -5.878 3.233
O 5.246 -3.951 0.915
```

## Properties
For the polymorph energy (0 for the lowest one), the calculation gives 0.0 meV per atom. As for the size of the total moment: 0.000 μB/f.u.

---

[9]
VASP calculation (SCAN) on a PBEsol-optimized structure of Tm2P4O13.

The structure in extended XYZ format:
```
76
Lattice="8.912 0.000 0.000 0.000 9.287 0.000 -4.152 0.000 13.075" Properties=species:S:1:pos:R:3 pbc="T T T"
Tm -0.669 0.021 2.842
Tm -2.745 4.622 9.379
Tm 2.989 0.037 2.946
Tm 0.912 4.606 9.484
Tm 3.847 4.681 3.591
Tm 1.771 9.250 10.129
Tm 7.505 4.665 3.696
Tm 5.429 9.265 10.233
P -0.312 2.142 5.745
P -2.388 2.501 12.283
P -0.786 1.850 8.634
P 1.290 2.793 2.097
P 1.123 6.865 4.465
P -0.953 7.066 11.002
P 4.117 6.867 0.739
P 2.041 7.063 7.276
P 2.719 2.224 5.799
P 0.643 2.420 12.336
P 5.712 2.221 2.073
P 3.636 2.422 8.610
P 3.469 6.494 10.978
P 5.545 7.437 4.441
P 7.147 6.786 0.792
P 5.071 7.145 7.330
O -3.148 1.243 11.975
O -1.072 3.400 5.437
O -1.910 1.097 9.297
O 0.166 3.547 2.759
O -0.320 1.062 4.715
O -2.396 3.582 11.252
O -0.258 6.261 4.551
O -2.335 7.670 11.088
O -0.898 1.490 7.070
O 1.179 3.154 0.532
O 1.170 1.245 2.198
O -0.907 3.399 8.735
O -0.930 5.863 10.024
O 1.146 8.068 3.487
O -0.893 2.068 12.682
O 1.183 2.576 6.145
O -0.604 6.363 12.417
O 1.472 7.567 5.880
O 0.591 1.426 9.092
O 2.667 3.218 2.555
O 2.193 5.851 4.163
O 0.117 8.080 10.701
O 1.343 5.799 7.683
O 3.419 8.131 1.146
O 2.769 1.061 4.859
O 0.693 3.582 11.397
O 4.067 5.705 1.678
O 1.991 8.226 8.216
O 1.341 1.155 11.929
O 3.417 3.488 5.392
O 4.643 1.207 2.375
O 2.566 3.436 8.912
O 2.092 6.069 10.520
O 4.168 7.861 3.983
O 3.287 1.720 7.195
O 5.363 2.923 0.658
O 3.576 6.711 6.930
O 5.653 7.219 0.393
O 3.613 1.219 9.588
O 5.689 3.424 3.051
O 5.666 5.888 4.340
O 3.590 8.042 10.877
O 3.581 6.133 12.543
O 5.657 7.797 6.005
O 7.094 1.617 1.987
O 5.018 3.026 8.524
O 7.155 5.705 1.823
O 5.079 8.225 8.360
O 4.593 5.740 10.316
O 6.669 8.190 3.778
O 5.832 5.887 7.638
O 7.908 8.044 1.100
```

## Properties
For the polymorph energy (0 for the lowest one), the calculation gives 15.7 meV per atom. As for the size of the total moment: 0.000 μB/f.u.

---

[10]
VASP calculation (SCAN) on a PBEsol-optimized structure of V3P4O14.

The structure in extended XYZ format:
```
42
Lattice="7.249 0.000 0.000 0.000 7.766 0.000 -3.381 0.000 8.727" Properties=species:S:1:pos:R:3 pbc="T T T"
V 0.000 0.000 0.000
V -1.690 3.883 4.363
V -0.419 1.017 4.612
V 1.271 2.866 0.249
V 2.597 4.900 8.478
V 4.288 6.749 4.115
P -1.865 5.504 7.032
P -0.175 6.146 2.668
P 1.917 0.401 2.579
P 0.227 3.482 6.943
P 3.642 4.285 1.784
P 1.952 7.365 6.147
P 4.043 1.621 6.058
P 5.734 2.263 1.695
O -2.910 1.626 7.580
O -1.219 2.257 3.216
O -2.737 4.464 7.796
O -1.046 7.186 3.432
O -0.272 4.806 3.330
O -1.962 6.844 7.693
O 1.476 0.924 1.178
O -0.214 2.959 5.541
O -0.376 4.981 7.063
O 1.315 6.668 2.700
O 1.267 1.246 3.659
O -0.423 2.637 8.023
O 2.157 4.054 1.601
O 0.467 7.595 5.964
O 3.402 0.171 2.762
O 1.712 3.712 7.126
O 4.292 5.129 0.704
O 2.602 6.521 5.067
O 2.554 1.098 6.027
O 4.245 2.785 1.664
O 4.083 4.807 3.186
O 2.393 6.842 7.549
O 5.831 0.922 1.033
O 4.140 2.961 5.397
O 4.915 0.581 5.294
O 6.606 3.302 0.931
O 5.088 5.509 5.510
O 6.778 6.141 1.147
```

## Properties
As for the electronic total energy: -11.159 eV per atom. As for the size of the total moment: 7.000 μB/f.u.

---

[11]
VASP calculation (SCAN) on a PBEsol-optimized structure of V4P2O13.

The structure in extended XYZ format:
```
19
Lattice="4.870 0.000 0.000 0.775 4.812 0.000 0.186 1.471 8.470" Properties=species:S:1:pos:R:3 pbc="T T T"
V 0.000 0.000 0.000
V 1.251 1.901 5.732
V 2.397 1.757 0.622
V 3.808 3.023 3.602
P 1.496 5.095 3.020
P 4.215 4.482 6.531
O 0.221 1.393 4.014
O 0.816 0.944 1.576
O 1.489 3.336 0.377
O 1.506 2.418 7.503
O 2.872 5.021 6.055
O 2.526 2.480 4.789
O 2.919 4.704 3.408
O 3.192 2.337 2.162
O 3.306 0.128 0.680
O 4.043 3.733 7.865
O 4.823 3.505 5.481
O 5.221 5.688 6.708
O 5.405 3.931 2.937
```

## Properties
As for the electronic total energy: -11.608 eV per atom. As for the size of the total moment: 4.000 μB/f.u.